IrOsAu2 | GGA-PBE | relaxed

a b c (Å): 3.968 4.019 4.019
angles (deg): 90.00 90.00 90.00
Fractional positions:
Au: 0.000 0.000 0.000
Au: 0.000 0.500 0.500
Ir: 0.500 0.500 0.000
Os: 0.500 0.000 0.500

* M_tot: 0.0 Bohr magnetons per cell
* polymorph energy (0 for the lowest one): 0.4784 eV/atom

=====

InP2Br | GGA-PBE | relaxed

a b c (Å): 4.847 4.840 4.841
angles (deg): 70.43 70.73 109.61
Fractional positions:
Br: 0.000 0.500 0.500
In: 0.500 0.500 0.000
P: 0.000 0.000 0.000
P: 0.500 0.000 0.500

* M_tot: 0.0 Bohr magnetons per cell
* polymorph energy (0 for the lowest one): 0.4898 eV/atom
* E_form (uncorrected): 0.3803 eV per atom

=====

KSN2 | GGA-PBE | relaxed

a b c (Å): 5.332 5.654 6.697
angles (deg): 113.73 74.10 122.02
Each line ends with the local moment (μB).
Fractional positions:
K: 0.269 0.562 0.362  0.00
S: 0.575 0.208 0.349  0.52
N: 0.729 0.596 0.954  0.01
N: 0.927 0.634 0.835  0.00

* M_tot: 1.0 Bohr magnetons per cell
* E_form (uncorrected): -0.0965 eV per atom

=====

Q: M_tot of number 2 (InP2Br)?
A: 0.0 Bohr magnetons per cell

=====

Q: Look up the M_tot of the first one.
A: 0.0 Bohr magnetons per cell